Below is a geometry-optimized NbRuSe4 structure, with properties calculated at the PBE level.

For the uncorrected formation energy, the calculation gives -9.366 kcal/mol of atoms. The value obtained for the volume is 490 Å³ per cell. Its density of states at the Fermi level is 0.610 states/eV per atom.

a b c (Å): 8.219 14.246 5.727
angles (deg): 90.00 133.05 90.00
Space group C2/c (No. 15)
Unique sites:
Nb 0.000 0.050 0.250 (multiplicity 4)
Ru 0.000 0.306 0.750 (multiplicity 4)
Se 0.181 0.195 0.211 (multiplicity 8)
Se 0.202 0.441 0.139 (multiplicity 8)